NaRe2AgF: optimized geometry, GGA-PBE.

a = 4.1274 Å, b = 4.1274 Å, c = 4.6370 Å
α = 90.00°, β = 90.00°, γ = 90.00°
Fractional coordinates of all 5 atoms:
Na  0.0000  0.0000  0.0000
Re  0.0000  0.5000  0.5000
Re  0.5000  0.0000  0.5000
Ag  0.5000  0.5000  0.0000
F  0.0000  0.0000  0.5000

The calculation puts the theoretical density at 10.98 g cm⁻³. The calculation puts the final energy at -5.204 eV/atom. The total moment is 0.000 μB per atom.



CeSm3Mg2: optimized geometry, GGA-PBE.

a = 3.6037 Å, b = 3.6037 Å, c = 13.5339 Å
α = 90.00°, β = 90.00°, γ = 90.00°
Fractional coordinates of all 6 atoms:
Ce  0.0000  0.0000  0.0000
Sm  0.5000  0.5000  0.1749
Sm  0.5000  0.5000  0.5000
Sm  0.5000  0.5000  0.8251
Mg  0.0000  0.0000  0.3384
Mg  0.0000  0.0000  0.6616

The calculation puts the theoretical density at 6.04 g cm⁻³. The calculation puts the formation energy at -0.03 eV/atom. The total moment is 0.021 μB per atom.



LuHfSc2: optimized geometry, GGA-PBE.

a = 5.1942 Å, b = 5.1942 Å, c = 5.1942 Å
α = 60.00°, β = 60.00°, γ = 60.00°
Fractional coordinates of all 4 atoms:
Lu  0.0000  0.0000  0.0000
Hf  0.5000  0.5000  0.5000
Sc  0.2500  0.2500  0.2500
Sc  0.7500  0.7500  0.7500

The calculation puts the theoretical density at 7.43 g cm⁻³. The calculation puts the formation energy at 0.19 eV/atom. Its energy above the most stable polymorph in this dataset is 0.37 eV/f.u. The total moment is 0.173 μB per atom.



GaAs2H: optimized geometry, GGA-PBE.

a = 4.0464 Å, b = 6.0978 Å, c = 7.3477 Å
α = 112.58°, β = 90.01°, γ = 109.32°
Fractional coordinates of all 8 atoms:
Ga  0.0000  0.0000  0.0000
Ga  0.3885  0.9998  0.4997
As  0.3455  0.4074  0.4908
As  0.4210  0.8310  0.7652
As  0.4486  0.4070  0.9906
As  0.7983  0.8304  0.2649
H  0.1413  0.4968  0.9662
H  0.7417  0.4966  0.4650

The calculation puts the theoretical density at 4.69 g cm⁻³. Its energy above the most stable polymorph in this dataset is 0.00 eV/f.u. The total moment is 0.000 μB per atom.



YScPt2I: optimized geometry, GGA-PBE.

a = 4.9453 Å, b = 4.9453 Å, c = 5.3019 Å
α = 90.00°, β = 90.00°, γ = 90.00°
Fractional coordinates of all 5 atoms:
Y  0.0000  0.0000  0.0000
Sc  0.5000  0.5000  0.5000
Pt  0.0000  0.5000  0.5000
Pt  0.5000  0.0000  0.5000
I  0.5000  0.5000  0.0000

The calculation puts the theoretical density at 8.34 g cm⁻³. The calculation puts the final energy at -5.524 eV/atom. The total moment is 0.000 μB per atom.



ZrCdOs2: optimized geometry, GGA-PBE.

a = 2.8677 Å, b = 2.8677 Å, c = 9.1659 Å
α = 90.00°, β = 90.00°, γ = 112.18°
Fractional coordinates of all 4 atoms:
Zr  0.0000  0.0000  0.0000
Cd  0.0000  0.0000  0.5000
Os  0.5000  0.5000  0.2377
Os  0.5000  0.5000  0.7623

The calculation puts the theoretical density at 13.90 g cm⁻³. The calculation puts the formation energy at 0.31 eV/atom. The total moment is 0.000 μB per atom.



What is the total moment in the second record? 0.021 μB per atom



Please write out number 6 again, unchanged.
ZrCdOs2: optimized geometry, GGA-PBE.

a = 2.8677 Å, b = 2.8677 Å, c = 9.1659 Å
α = 90.00°, β = 90.00°, γ = 112.18°
Fractional coordinates of all 4 atoms:
Zr  0.0000  0.0000  0.0000
Cd  0.0000  0.0000  0.5000
Os  0.5000  0.5000  0.2377
Os  0.5000  0.5000  0.7623

The calculation puts the theoretical density at 13.90 g cm⁻³. The calculation puts the formation energy at 0.31 eV/atom. The total moment is 0.000 μB per atom.



Among the records above, which one has the highest theoretical density? ZrCdOs2



Copy entry 2 word for word.
CeSm3Mg2: optimized geometry, GGA-PBE.

a = 3.6037 Å, b = 3.6037 Å, c = 13.5339 Å
α = 90.00°, β = 90.00°, γ = 90.00°
Fractional coordinates of all 6 atoms:
Ce  0.0000  0.0000  0.0000
Sm  0.5000  0.5000  0.1749
Sm  0.5000  0.5000  0.5000
Sm  0.5000  0.5000  0.8251
Mg  0.0000  0.0000  0.3384
Mg  0.0000  0.0000  0.6616

The calculation puts the theoretical density at 6.04 g cm⁻³. The calculation puts the formation energy at -0.03 eV/atom. The total moment is 0.021 μB per atom.